1.
A geometry-optimized Sn2PPd6 structure. Source: the Alexandria database, functional PBE.

Cell: 7.0380 7.0380 3.4500 Å, 90.00 90.00 120.00°
With the nearest neighbours (Å) after each atom.
Space group P-62m (No. 189)
Inequivalent atoms, fractional coordinates:
Sn 0.3333 0.6667 0.0000 [2 per cell]  9 Pd 2.71-2.79
P 0.0000 0.0000 0.5000 [1 per cell]  9 Pd 2.44-2.71
Pd 0.0000 0.3847 0.5000 [3 per cell]  1 P 2.71, 4 Sn 2.79, 4 Pd 2.93
Pd 0.0000 0.7553 0.0000 [3 per cell]  2 P 2.44, 2 Sn 2.71

Values from the calculation:
Formation energy from the elements, kJ/mol of atoms: -51.2
VASP energy, eV/atom: -5.483
Magnetic moment, Bohr magnetons per cell: 0.0


2.
A geometry-optimized SnP2Pd7 structure. Source: the Alexandria database, functional PBE.

Cell: 4.0103 4.0103 19.7753 Å, 90.00 90.00 90.00°
With the nearest neighbours (Å) after each atom.
Space group I4/mmm (No. 139)
Inequivalent atoms, fractional coordinates:
Sn 0.0000 0.0000 0.0000 [2 per cell]  12 Pd 2.84-2.91
P 0.0000 0.0000 0.3259 [4 per cell]  8 Pd 2.41-2.51
Pd 0.0000 0.0000 0.5000 [2 per cell]  4 Sn 2.84, 8 Pd 2.91
Pd 0.0000 0.5000 0.1066 [8 per cell]  2 P 2.41
Pd 0.0000 0.5000 0.2500 [4 per cell]  4 P 2.51

Values from the calculation:
Formation energy from the elements, kJ/mol of atoms: -48.0
VASP energy, eV/atom: -5.614
Magnetic moment, Bohr magnetons per cell: 0.0


3.
A geometry-optimized SnPPd2 structure. Source: the Alexandria database, functional PBE.

Cell: 7.5701 6.6081 5.6879 Å, 90.00 90.24 90.00°
With the nearest neighbours (Å) after each atom.
Space group P2_1/c (No. 14)
Inequivalent atoms, fractional coordinates:
Sn 0.1180 0.1023 0.2813 [4 per cell]  6 Pd 2.75-2.87
P 0.3796 0.5602 0.2013 [4 per cell]  6 Pd 2.44-2.64
Pd 0.1758 0.7203 0.4855 [4 per cell]  2 P 2.44-2.48
Pd 0.4124 0.2011 0.0034 [4 per cell]  4 P 2.45-2.64

Values from the calculation:
Formation energy from the elements, kJ/mol of atoms: -39.6
VASP energy, eV/atom: -5.360
Magnetic moment, Bohr magnetons per cell: 0.0


4.
A geometry-optimized SnPPd2 structure. Source: the Alexandria database, functional PBE.

Cell: 4.4734 4.4734 15.6417 Å, 90.00 90.00 90.00°
With the nearest neighbours (Å) after each atom.
Space group I-42d (No. 122)
Inequivalent atoms, fractional coordinates:
Sn 0.0000 0.0000 0.0000 [4 per cell]  4 Pd 2.66
P 0.0000 0.0000 0.5000 [4 per cell]  4 Pd 2.40
Pd 0.1833 0.2500 0.6250 [8 per cell]  2 P 2.40, 2 Sn 2.66

Values from the calculation:
Formation energy from the elements, kJ/mol of atoms: -26.8
VASP energy, eV/atom: -5.227
Magnetic moment, Bohr magnetons per cell: 0.0


5.
A geometry-optimized Sn4P2Pd structure. Source: the Alexandria database, functional PBE.

Cell: 3.9437 6.8769 7.3979 Å, 115.01 90.06 90.02°
With the nearest neighbours (Å) after each atom.
Space group P-1 (No. 2)
Inequivalent atoms, fractional coordinates:
Sn 0.0008 0.2169 0.1592 [2 per cell]  2 P 2.59, 1 Pd 2.67
Sn 0.4992 0.2668 0.7461 [2 per cell]  2 P 2.66-2.67, 2 Pd 2.73
P 0.4989 0.8450 0.6447 [2 per cell]  4 Sn 2.59-2.67
Pd 0.0000 0.5000 0.0000 [1 per cell]  6 Sn 2.67-2.73

Values from the calculation:
Formation energy from the elements, kJ/mol of atoms: -15.9
VASP energy, eV/atom: -4.740
Magnetic moment, Bohr magnetons per cell: 0.0


6.
A geometry-optimized SnPPd2 structure. Source: the Alexandria database, functional PBE.

Cell: 6.4696 6.4696 6.4696 Å, 90.00 90.00 90.00°
With the nearest neighbours (Å) after each atom.
Space group Fm-3m (No. 225)
Inequivalent atoms, fractional coordinates:
Sn 0.0000 0.0000 0.0000 [4 per cell]  8 Pd 2.80
P 0.0000 0.0000 0.5000 [4 per cell]  8 Pd 2.80
Pd 0.2500 0.2500 0.2500 [8 per cell]  4 Sn 2.80, 4 P 2.80

Values from the calculation:
Formation energy from the elements, kJ/mol of atoms: -15.0
VASP energy, eV/atom: -5.105
Magnetic moment, Bohr magnetons per cell: 0.0


7.
A geometry-optimized SnP2Pd2 structure. Source: the Alexandria database, functional PBE.

Cell: 3.8237 3.8237 12.1628 Å, 90.00 90.00 90.00°
With the nearest neighbours (Å) after each atom.
Space group I4/mmm (No. 139)
Inequivalent atoms, fractional coordinates:
Sn 0.0000 0.0000 0.0000 [2 per cell]  8 Pd 3.05
P 0.0000 0.5000 0.2500 [4 per cell]  4 Pd 2.51, 4 P 2.70
Pd 0.0000 0.0000 0.3842 [4 per cell]  4 P 2.51, 1 Pd 2.82

Values from the calculation:
Formation energy from the elements, kJ/mol of atoms: -7.8
VASP energy, eV/atom: -5.122
Magnetic moment, Bohr magnetons per cell: 0.0


8.
A geometry-optimized Sn2PPd3 structure. Source: the Alexandria database, functional PBE.

Cell: 12.3389 5.3859 6.9507 Å, 90.00 106.97 90.00°
With the nearest neighbours (Å) after each atom.
Space group C2/c (No. 15)
Inequivalent atoms, fractional coordinates:
Sn 0.1896 0.0044 0.0944 [8 per cell]  6 Pd 2.81-2.93
P 0.0000 0.3171 0.7500 [4 per cell]  5 Pd 2.40-2.44
Pd 0.0000 0.1288 0.2500 [4 per cell]  1 P 2.40
Pd 0.1176 0.4979 0.5581 [8 per cell]  2 P 2.42-2.44

Values from the calculation:
Formation energy from the elements, kJ/mol of atoms: -34.8
VASP energy, eV/atom: -5.193
Magnetic moment, Bohr magnetons per cell: 0.0


Please write out number 5 again, unchanged.
A geometry-optimized Sn4P2Pd structure. Source: the Alexandria database, functional PBE.

Cell: 3.9437 6.8769 7.3979 Å, 115.01 90.06 90.02°
With the nearest neighbours (Å) after each atom.
Space group P-1 (No. 2)
Inequivalent atoms, fractional coordinates:
Sn 0.0008 0.2169 0.1592 [2 per cell]  2 P 2.59, 1 Pd 2.67
Sn 0.4992 0.2668 0.7461 [2 per cell]  2 P 2.66-2.67, 2 Pd 2.73
P 0.4989 0.8450 0.6447 [2 per cell]  4 Sn 2.59-2.67
Pd 0.0000 0.5000 0.0000 [1 per cell]  6 Sn 2.67-2.73

Values from the calculation:
Formation energy from the elements, kJ/mol of atoms: -15.9
VASP energy, eV/atom: -4.740
Magnetic moment, Bohr magnetons per cell: 0.0